Record 1
Entry from the Alexandria database: a PBEsol-optimized structure of SbMoBr2 (SCAN).

Formation energy (no corrections): 0.32 eV/atom
Total energy: -219.57 eV for the cell shown

a b c (Å): 3.1041 5.8116 11.1251
angles (deg): 90.00 90.00 90.00
Space group Cmmm (No. 65)
Unique sites:
Sb (0.0000, 0.0000, 0.0000) (multiplicity 2)
Mo (0.0000, 0.0000, 0.5000) (multiplicity 2)
Br (0.0000, 0.5000, 0.3188) (multiplicity 4)

---

Record 2
Entry from the Alexandria database: a PBEsol-optimized structure of Li2V3O6 (SCAN).

Formation energy (no corrections): -2.54 eV/atom
Total energy: -245.24 eV for the cell shown

a b c (Å): 4.7737 8.3836 5.1584
angles (deg): 90.00 106.09 90.00
Space group C2/m (No. 12)
Unique sites:
Li (0.0000, 0.1690, 0.0000) (multiplicity 4)
V (0.0000, 0.0000, 0.5000) (multiplicity 2)
V (0.0000, 0.3587, 0.5000) (multiplicity 4)
O (0.2319, 0.1718, 0.7143) (multiplicity 8)
O (0.2464, 0.0000, 0.2456) (multiplicity 4)

---

Record 3
Entry from the Alexandria database: a PBEsol-optimized structure of Cd2PbBr (SCAN).

Formation energy (no corrections): -0.14 eV/atom
Total energy: -313.22 eV for the cell shown

a b c (Å): 4.5103 5.2896 8.4265
angles (deg): 90.00 90.00 90.00
Space group Cmm2 (No. 35)
Unique sites:
Cd (0.0000, 0.0000, 0.0000) (multiplicity 2)
Cd (0.0000, 0.5000, 0.2191) (multiplicity 2)
Pb (0.0000, 0.0000, 0.4781) (multiplicity 2)
Br (0.0000, 0.5000, 0.7641) (multiplicity 2)

---

Record 4
Entry from the Alexandria database: a PBEsol-optimized structure of LaCdRu (SCAN).

Total energy: -428.33 eV for the cell shown
Energy of formation: 0.42 eV per atom

a b c (Å): 6.6689 6.6689 6.6689
angles (deg): 90.00 90.00 90.00
Space group F-43m (No. 216)
Unique sites:
La (0.0000, 0.0000, 0.0000) (multiplicity 4)
Cd (0.2500, 0.2500, 0.7500) (multiplicity 4)
Ru (0.0000, 0.0000, 0.5000) (multiplicity 4)

---

Record 5
Entry from the Alexandria database: a PBEsol-optimized structure of CaTm2S4 (SCAN).

Formation energy (no corrections): -2.39 eV/atom
Total energy: -674.32 eV for the cell shown

a b c (Å): 12.6761 3.8120 12.8502
angles (deg): 90.00 90.00 90.00
Space group Pnma (No. 62)
Unique sites:
Ca (0.1319, 0.2500, 0.0830) (multiplicity 4)
Tm (0.1060, 0.7500, 0.4157) (multiplicity 4)
Tm (0.1473, 0.7500, 0.7983) (multiplicity 4)
S (0.0299, 0.2500, 0.8821) (multiplicity 4)
S (0.0360, 0.7500, 0.6176) (multiplicity 4)
S (0.2173, 0.7500, 0.2370) (multiplicity 4)
S (0.2410, 0.2500, 0.4744) (multiplicity 4)

---

Record 6
Entry from the Alexandria database: a PBEsol-optimized structure of Li2Si (SCAN).

Formation energy (no corrections): -0.16 eV/atom
Total energy: -45.85 eV for the cell shown

a b c (Å): 7.5102 7.5102 2.6332
angles (deg): 90.00 90.00 120.00
Space group P-62m (No. 189)
Unique sites:
Li (0.0000, 0.3626, 0.0000) (multiplicity 3)
Li (0.0000, 0.6967, 0.5000) (multiplicity 3)
Si (0.0000, 0.0000, 0.0000) (multiplicity 1)
Si (0.3333, 0.6667, 0.5000) (multiplicity 2)

---

Record 7
Entry from the Alexandria database: a PBEsol-optimized structure of Y2HgOs (SCAN).

Total energy: -197.97 eV for the cell shown
Energy of formation: -0.56 eV per atom

a b c (Å): 3.4155 3.4155 7.4933
angles (deg): 90.00 90.00 90.00
Space group P4/mmm (No. 123)
Unique sites:
Y (0.0000, 0.0000, 0.2184) (multiplicity 2)
Hg (0.5000, 0.5000, 0.5000) (multiplicity 1)
Os (0.5000, 0.5000, 0.0000) (multiplicity 1)

---

Record 8
Entry from the Alexandria database: a PBEsol-optimized structure of MnNi5 (SCAN).

Total energy: -99.21 eV for the cell shown
Energy of formation: -0.01 eV per atom

a b c (Å): 2.4264 2.4264 10.4510
angles (deg): 90.00 90.00 90.00
Space group P4/mmm (No. 123)
Unique sites:
Mn (0.0000, 0.0000, 0.0000) (multiplicity 1)
Ni (0.0000, 0.0000, 0.3346) (multiplicity 2)
Ni (0.5000, 0.5000, 0.1643) (multiplicity 2)
Ni (0.5000, 0.5000, 0.5000) (multiplicity 1)

---

Record 9
Entry from the Alexandria database: a PBEsol-optimized structure of TaP3 (SCAN).

Total energy: -192.93 eV for the cell shown
Energy of formation: 0.33 eV per atom

a b c (Å): 3.6813 3.6813 8.4327
angles (deg): 90.00 90.00 90.00
Space group I4/mmm (No. 139)
Unique sites:
Ta (0.0000, 0.0000, 0.0000) (multiplicity 2)
P (0.0000, 0.0000, 0.5000) (multiplicity 2)
P (0.0000, 0.5000, 0.2500) (multiplicity 4)

---

Record 10
Entry from the Alexandria database: a PBEsol-optimized structure of BaBC2 (SCAN).

Total energy: -256.01 eV for the cell shown
Energy of formation: 0.79 eV per atom

a b c (Å): 4.4634 4.4634 10.0698
angles (deg): 90.00 90.00 90.00
Space group I4_1/amd (No. 141, origin choice 2)
Unique sites:
Ba (0.0000, 0.2500, 0.3750) (multiplicity 4)
B (0.0000, 0.2500, 0.8750) (multiplicity 4)
C (0.0000, 0.0000, 0.0000) (multiplicity 8)

---

Record 11
Entry from the Alexandria database: a PBEsol-optimized structure of ScCl (SCAN).

Formation energy (no corrections): -1.08 eV/atom
Total energy: -97.49 eV for the cell shown

a b c (Å): 3.1314 4.6081 10.6178
angles (deg): 90.00 90.00 90.00
Space group Imma (No. 74)
Unique sites:
Sc (0.0000, 0.2500, 0.1164) (multiplicity 4)
Cl (0.0000, 0.2500, 0.5961) (multiplicity 4)

---

Record 12
Entry from the Alexandria database: a PBEsol-optimized structure of ScTaN (SCAN).

Formation energy (no corrections): -1.14 eV/atom
Total energy: -187.05 eV for the cell shown

a b c (Å): 3.0547 3.0547 10.2202
angles (deg): 90.00 90.00 120.00
Space group P-3m1 (No. 164)
Unique sites:
Sc (0.0000, 0.0000, 0.0000) (multiplicity 1)
Sc (0.0000, 0.0000, 0.5000) (multiplicity 1)
Ta (0.3333, 0.6667, 0.2456) (multiplicity 2)
N (0.3333, 0.6667, 0.6301) (multiplicity 2)

---

Record 13
Entry from the Alexandria database: a PBEsol-optimized structure of LaCuTe2I (SCAN).

Formation energy (no corrections): 0.05 eV/atom
Total energy: -169.31 eV for the cell shown

a b c (Å): 6.0806 6.0806 6.0755
angles (deg): 90.00 90.00 90.00
Space group P4/mmm (No. 123)
Unique sites:
La (0.0000, 0.0000, 0.0000) (multiplicity 1)
Cu (0.5000, 0.5000, 0.5000) (multiplicity 1)
Te (0.0000, 0.5000, 0.0000) (multiplicity 2)
I (0.0000, 0.0000, 0.5000) (multiplicity 1)